The following is a PBE calculation of NbZnCdF2 after structural relaxation, from Alexandria via LeMat-Bulk.

* E: -4.274 eV per atom
* SG: P4/mmm, No. 123
* formation energy from raw total energies: -1074 meV/atom
* crystal system: tetragonal

Unit cell a=4.1393 b=5.5767 c=4.1393 alpha=90.00 beta=90.00 gamma=90.00
With the nearest neighbours (Å) after each atom.
Fractional coordinates of all 5 atoms:
Zn (0.0000, 0.5000, 0.0000)  2 Nb 2.79, 4 Cd 2.93
Nb (0.0000, 0.0000, 0.0000)  4 F 2.07
F (0.5000, 0.0000, 0.0000)  2 Nb 2.07
Cd (0.5000, 0.5000, 0.5000)  4 Zn 2.93
F (0.0000, 0.0000, 0.5000)  2 Nb 2.07



The following is a PBE calculation of Au2SBr3 after structural relaxation, from Alexandria via LeMat-Bulk.

* E: -2.609 eV per atom
* SG: P-1, No. 2
* formation energy from raw total energies: 8 meV/atom
* crystal system: triclinic

Unit cell a=6.2010 b=7.4923 c=13.0914 alpha=123.16 beta=61.26 gamma=119.29
With the nearest neighbours (Å) after each atom.
Fractional coordinates of all 12 atoms:
Au (0.1305, 0.2463, 0.7832)  1 S 2.37, 3 Br 2.46-2.60
Au (0.5231, 0.8212, 0.5132)  1 S 2.28, 1 Br 2.54
Au (0.4769, 0.1788, 0.4868)  1 S 2.28, 1 Br 2.54
S (0.4666, 0.8265, 0.3318)  2 Au 2.28-2.37
Br (0.9768, 0.0020, 0.8908)  1 Au 2.46
Br (0.3145, 0.5080, 0.6687)  2 Au 2.54-2.60
Au (0.8695, 0.7537, 0.2168)  1 S 2.37, 3 Br 2.46-2.60
Br (0.2902, 0.6750, 0.1044)  1 Au 2.49
Br (0.6855, 0.4920, 0.3313)  2 Au 2.54-2.60
S (0.5334, 0.1735, 0.6682)  2 Au 2.28-2.37
Br (0.0232, 0.9980, 0.1092)  1 Au 2.46
Br (0.7098, 0.3250, 0.8956)  1 Au 2.49



The following is a PBE calculation of PuGa2Au after structural relaxation, from Alexandria via LeMat-Bulk.

* E: -6.205 eV per atom
* SG: P4/mmm, No. 123
* formation enthalpy at 0 K: -0.2895 eV/atom
* crystal system: tetragonal

Unit cell a=3.3083 b=3.3083 c=7.1860 alpha=90.00 beta=90.00 gamma=90.00
With the nearest neighbours (Å) after each atom.
Fractional coordinates of all 4 atoms:
Ga (0.0000, 0.0000, 0.2163)  4 Au 2.81, 4 Pu 3.10, 1 Ga 3.11
Au (0.5000, 0.5000, 0.0000)  8 Ga 2.81
Ga (0.0000, 0.0000, 0.7837)  4 Au 2.81, 4 Pu 3.10, 1 Ga 3.11
Pu (0.5000, 0.5000, 0.5000)  8 Ga 3.10, 4 Pu 3.31



The following is a PBE calculation of Pm2SmEr5Sc after structural relaxation, from Alexandria via LeMat-Bulk.

* E: -4.543 eV per atom
* SG: I4/mcm, No. 140
* formation enthalpy at 0 K: 0.2754 eV/atom
* crystal system: tetragonal

Unit cell a=8.5872 b=8.5872 c=9.7679 alpha=116.08 beta=116.08 gamma=90.00
With the nearest neighbours (Å) after each atom.
Fractional coordinates of all 18 atoms:
Sm (0.7500, 0.7500, 0.5000)  10 Er 3.51-3.83
Sc (0.7500, 0.2500, 0.5000)  4 Er 3.02
Er (0.6529, 0.1529, 0.7191)  1 Sc 3.02, 1 Pm 3.02
Er (0.0000, 0.0000, 0.0000)  4 Pm 3.43, 8 Er 3.76, 2 Sm 3.83
Pm (0.1185, 0.3815, 0.0000)  1 Pm 2.88, 2 Er 3.02
Sm (0.2500, 0.2500, 0.5000)  10 Er 3.51-3.83
Sc (0.2500, 0.7500, 0.5000)  4 Er 3.02
Pm (0.3815, 0.8815, 0.0000)  1 Pm 2.88, 2 Er 3.02
Pm (0.6185, 0.1185, 0.0000)  1 Pm 2.88, 2 Er 3.02
Er (0.9337, 0.4337, 0.2809)  1 Sc 3.02, 1 Pm 3.02
Er (0.4337, 0.3471, 0.2809)  1 Sc 3.02, 1 Pm 3.02
Er (0.5663, 0.6529, 0.7191)  1 Sc 3.02, 1 Pm 3.02
Pm (0.8815, 0.6185, 0.0000)  1 Pm 2.88, 2 Er 3.02
Er (0.1529, 0.0663, 0.7191)  1 Sc 3.02, 1 Pm 3.02
Er (0.8471, 0.9337, 0.2809)  1 Sc 3.02, 1 Pm 3.02
Er (0.3471, 0.8471, 0.2809)  1 Sc 3.02, 1 Pm 3.02
Er (0.0663, 0.5663, 0.7191)  1 Sc 3.02, 1 Pm 3.02
Er (0.5000, 0.5000, 0.0000)  4 Pm 3.43, 8 Er 3.76, 2 Sm 3.83



The following is a PBE calculation of Li2MgAg2 after structural relaxation, from Alexandria via LeMat-Bulk.

* E: -2.401 eV per atom
* SG: C2/c, No. 15
* formation enthalpy at 0 K: -0.1757 eV/atom
* crystal system: monoclinic

Unit cell a=7.1009 b=5.1646 c=7.9824 alpha=61.39 beta=63.59 gamma=46.57
With the nearest neighbours (Å) after each atom.
Fractional coordinates of all 10 atoms:
Ag (0.8490, 0.3757, 0.3548)  5 Li 2.69-2.89, 3 Mg 2.78-2.93, 1 Ag 2.81
Ag (0.5795, 0.1243, 0.1452)  5 Li 2.69-2.89, 3 Mg 2.78-2.93, 1 Ag 2.81
Li (0.8840, 0.3823, 0.9778)  5 Ag 2.69-2.89, 2 Li 2.83-2.94
Li (0.7559, 0.8823, 0.4778)  5 Ag 2.69-2.89, 2 Li 2.83-2.94
Mg (0.3525, 0.7500, 0.2500)  6 Ag 2.78-2.93, 2 Li 3.06
Ag (0.1510, 0.6243, 0.6452)  5 Li 2.69-2.89, 3 Mg 2.78-2.93, 1 Ag 2.81
Mg (0.6475, 0.2500, 0.7500)  6 Ag 2.78-2.93, 2 Li 3.06
Ag (0.4205, 0.8757, 0.8548)  5 Li 2.69-2.89, 3 Mg 2.78-2.93, 1 Ag 2.81
Li (0.2441, 0.1177, 0.5222)  5 Ag 2.69-2.89, 2 Li 2.83-2.94
Li (0.1160, 0.6177, 0.0222)  5 Ag 2.69-2.89, 2 Li 2.83-2.94



The following is a PBE calculation of MgZr3Mo after structural relaxation, from Alexandria via LeMat-Bulk.

* E: -6.987 eV per atom
* SG: Pm-3m, No. 221
* formation enthalpy at 0 K: 0.6272 eV/atom
* crystal system: cubic

Unit cell a=5.0878 b=5.0878 c=5.0878 alpha=90.00 beta=90.00 gamma=90.00
With the nearest neighbours (Å) after each atom.
Fractional coordinates of all 5 atoms:
Zr (0.5000, 0.0000, 0.0000)  2 Mo 2.54
Zr (0.0000, 0.5000, 0.0000)  2 Mo 2.54
Mg (0.5000, 0.5000, 0.5000)  12 Zr 3.60
Zr (0.0000, 0.0000, 0.5000)  2 Mo 2.54
Mo (0.0000, 0.0000, 0.0000)  6 Zr 2.54



Question: The highest E belongs to which entry?
Answer: Li2MgAg2